1.
A plane-wave DFT calculation with GGA-PBEsol was carried out for Mg2PClO4 after structural relaxation.

N(E_F) (states/eV per atom): 0.000
Raw formation energy (eV/atom): -2.4956

Unit cell a=4.8232 b=7.9102 c=10.9567 alpha=90.00 beta=90.00 gamma=90.00
Element x y z (fractional)
P1 0.4538 0.1208 0.3332
P2 0.9538 0.8792 0.6668
P3 0.4538 0.3792 0.8332
P4 0.9538 0.6208 0.1668
Cl1 0.2507 0.6209 0.4377
Cl2 0.7507 0.1209 0.0623
Cl3 0.7507 0.3791 0.5623
Cl4 0.2507 0.8791 0.9377
O1 0.3486 0.9586 0.2701
O2 0.7939 0.8766 0.5421
O3 0.7709 0.3798 0.8490
O4 0.2939 0.1234 0.4579
O5 0.7939 0.6234 0.0421
O6 0.8486 0.0414 0.7299
O7 0.8487 0.7800 0.2337
O8 0.8487 0.7200 0.7337
O9 0.2709 0.8798 0.6510
O10 0.3486 0.5414 0.7701
O11 0.3487 0.2200 0.7663
O12 0.8486 0.4586 0.2299
O13 0.2709 0.6202 0.1510
O14 0.3487 0.2800 0.2663
O15 0.7709 0.1202 0.3490
O16 0.2939 0.3766 0.9579
Mg1 0.0027 0.9026 0.3792
Mg2 0.5027 0.4026 0.1208
Mg3 0.5027 0.0974 0.6208
Mg4 0.5096 0.8367 0.1263
Mg5 0.5096 0.6633 0.6263
Mg6 0.0027 0.5974 0.8792
Mg7 0.0096 0.1633 0.8737
Mg8 0.0096 0.3367 0.3737

---

2.
A plane-wave DFT calculation with GGA-PBEsol was carried out for MgOs2Cl after structural relaxation.

ΔE to the lowest computed polymorph (meV per atom): 401.5
N(E_F) (states/eV per atom): 0.797
Raw formation energy (eV/atom): 0.5480

Unit cell a=2.8118 b=4.4684 c=5.4756 alpha=114.08 beta=104.88 gamma=90.00
Element x y z (fractional)
Mg1 0.0000 0.5000 0.0000
Os1 0.7740 0.7740 0.5480
Os2 0.2260 0.2260 0.4520
Cl1 0.5000 0.0000 0.0000

---

3.
A plane-wave DFT calculation with GGA-PBEsol was carried out for MgOsCl after structural relaxation.

ΔE to the lowest computed polymorph (meV per atom): 0.0
N(E_F) (states/eV per atom): 0.861
Raw formation energy (eV/atom): 0.2021

Unit cell a=2.8977 b=2.8977 c=7.1425 alpha=90.00 beta=90.00 gamma=120.00
Element x y z (fractional)
Cl1 0.0000 0.0000 0.9252
Mg1 0.6667 0.3333 0.6895
Os1 0.3333 0.6667 0.3854

---

4.
A plane-wave DFT calculation with GGA-PBEsol was carried out for MgOs2Cl after structural relaxation.

ΔE to the lowest computed polymorph (meV per atom): 666.8
N(E_F) (states/eV per atom): 1.152
Raw formation energy (eV/atom): 0.8133

Unit cell a=2.7758 b=2.8145 c=8.8907 alpha=90.00 beta=90.00 gamma=119.55
Element x y z (fractional)
Os1 0.0000 0.0000 0.2579
Os2 0.0000 0.0000 0.7421
Mg1 0.5000 0.0000 0.0000
Cl1 0.5000 0.0000 0.5000

---

5.
A plane-wave DFT calculation with GGA-PBEsol was carried out for MgOs2Cl after structural relaxation.

ΔE to the lowest computed polymorph (meV per atom): 857.1
N(E_F) (states/eV per atom): 0.957
Raw formation energy (eV/atom): 1.0036

Unit cell a=2.7379 b=4.9137 c=5.4288 alpha=116.91 beta=90.00 gamma=90.00
Element x y z (fractional)
Cl1 0.5000 0.0000 0.0000
Mg1 0.5000 0.5000 0.0000
Os1 0.0000 0.0000 0.5000
Os2 0.0000 0.5000 0.5000

---

6.
A plane-wave DFT calculation with GGA-PBEsol was carried out for MgOsCl after structural relaxation.

ΔE to the lowest computed polymorph (meV per atom): 337.9
N(E_F) (states/eV per atom): 0.885
Raw formation energy (eV/atom): 0.5400

Unit cell a=2.8965 b=4.3107 c=4.3107 alpha=120.00 beta=90.00 gamma=90.00
Element x y z (fractional)
Mg1 0.0000 0.3333 0.6667
Os1 0.5000 0.6667 0.3333
Cl1 0.5000 0.0000 0.0000

---

7.
A plane-wave DFT calculation with GGA-PBEsol was carried out for MgOs2Cl after structural relaxation.

ΔE to the lowest computed polymorph (meV per atom): 528.2
N(E_F) (states/eV per atom): 0.795
Raw formation energy (eV/atom): 0.6747

Unit cell a=3.4852 b=3.4852 c=6.0035 alpha=90.00 beta=90.00 gamma=90.00
Element x y z (fractional)
Mg1 0.0000 0.0000 0.5000
Os1 0.0000 0.5000 0.0000
Os2 0.5000 0.0000 0.0000
Cl1 0.5000 0.5000 0.5000

---

8.
A plane-wave DFT calculation with GGA-PBEsol was carried out for MgOs2Cl after structural relaxation.

ΔE to the lowest computed polymorph (meV per atom): 0.0
N(E_F) (states/eV per atom): 0.645
Raw formation energy (eV/atom): 0.1465

Unit cell a=2.8881 b=2.8881 c=7.4824 alpha=90.00 beta=90.00 gamma=90.00
Element x y z (fractional)
Mg1 0.5000 0.5000 0.7560
Cl1 0.0000 0.0000 0.5000
Os1 0.5000 0.5000 0.2261
Os2 0.0000 0.0000 0.0179

---

9.
A plane-wave DFT calculation with GGA-PBEsol was carried out for MgOs2Cl after structural relaxation.

ΔE to the lowest computed polymorph (meV per atom): 1157.1
N(E_F) (states/eV per atom): 0.868
Raw formation energy (eV/atom): 1.3036

Unit cell a=4.3407 b=4.3407 c=4.3407 alpha=60.00 beta=60.00 gamma=60.00
Element x y z (fractional)
Cl1 0.0000 0.0000 0.0000
Mg1 0.5000 0.5000 0.5000
Os1 0.2500 0.2500 0.2500
Os2 0.7500 0.7500 0.7500

---

10.
A plane-wave DFT calculation with GGA-PBEsol was carried out for MgOs3Cl after structural relaxation.

N(E_F) (states/eV per atom): 1.370
Raw formation energy (eV/atom): 3.0533

Unit cell a=4.5611 b=4.5611 c=4.5611 alpha=90.00 beta=90.00 gamma=90.00
Site moments in Bohr magnetons follow the coordinates.
Element x y z (fractional)
Os1 0.0000 0.0000 0.5000  1.19
Os2 0.0000 0.5000 0.0000  1.19
Os3 0.5000 0.0000 0.0000  1.19
Mg1 0.0000 0.0000 0.0000  -0.01
Cl1 0.5000 0.5000 0.5000  0.30

---

11.
A plane-wave DFT calculation with GGA-PBEsol was carried out for MgOs2Cl after structural relaxation.

ΔE to the lowest computed polymorph (meV per atom): 903.8
N(E_F) (states/eV per atom): 0.805
Raw formation energy (eV/atom): 1.0503

Unit cell a=2.9779 b=2.9779 c=6.4826 alpha=90.00 beta=90.00 gamma=90.00
Element x y z (fractional)
Os1 0.0000 0.0000 0.7678
Os2 0.0000 0.0000 0.2322
Mg1 0.5000 0.5000 0.5000
Cl1 0.5000 0.5000 0.0000

---

12.
A plane-wave DFT calculation with GGA-PBEsol was carried out for MgP2OsCl after structural relaxation.

N(E_F) (states/eV per atom): 0.937
Raw formation energy (eV/atom): 1.4672

Unit cell a=4.4254 b=4.7406 c=4.7406 alpha=90.00 beta=90.00 gamma=90.00
Site moments in Bohr magnetons follow the coordinates.
Element x y z (fractional)
Mg1 0.0000 0.0000 0.0000  0.00
Os1 0.5000 0.5000 0.5000  2.33
P1 0.0000 0.0000 0.5000  -0.09
P2 0.0000 0.5000 0.0000  -0.09
Cl1 0.5000 0.0000 0.0000  0.06

---

13.
A plane-wave DFT calculation with GGA-PBEsol was carried out for MgPCl2 after structural relaxation.

N(E_F) (states/eV per atom): 0.154
Raw formation energy (eV/atom): -0.5038

Unit cell a=3.3333 b=4.7910 c=5.1934 alpha=90.00 beta=90.00 gamma=90.00
Element x y z (fractional)
P1 0.5000 0.4155 0.5000
Cl1 0.0000 0.8758 0.0000
Cl2 0.5000 0.8356 0.5000
Mg1 0.0000 0.3731 0.0000

---

14.
A plane-wave DFT calculation with GGA-PBEsol was carried out for Mg2PCl after structural relaxation.

N(E_F) (states/eV per atom): 0.399
Raw formation energy (eV/atom): -0.3707

Unit cell a=3.1017 b=3.1017 c=8.6838 alpha=90.00 beta=90.00 gamma=89.91
Element x y z (fractional)
P1 0.0000 0.0000 0.5496
Mg1 0.0000 0.0000 0.0343
Mg2 0.5000 0.5000 0.7264
Cl1 0.5000 0.5000 0.1898

---

15.
A plane-wave DFT calculation with GGA-PBEsol was carried out for MgPPbCl2 after structural relaxation.

N(E_F) (states/eV per atom): 0.523
Raw formation energy (eV/atom): -0.5575

Unit cell a=4.6485 b=4.6485 c=5.3843 alpha=90.00 beta=90.00 gamma=90.00
Element x y z (fractional)
Mg1 0.0000 0.0000 0.0000
P1 0.0000 0.0000 0.5000
Cl1 0.0000 0.5000 0.0000
Cl2 0.5000 0.0000 0.0000
Pb1 0.5000 0.5000 0.5000

---

16.
A plane-wave DFT calculation with GGA-PBEsol was carried out for MgReP2Cl after structural relaxation.

N(E_F) (states/eV per atom): 0.535
Raw formation energy (eV/atom): 0.2266

Unit cell a=4.5286 b=4.5286 c=5.1463 alpha=90.00 beta=90.00 gamma=90.00
Element x y z (fractional)
P1 0.5000 0.0000 0.0000
P2 0.0000 0.5000 0.0000
Re1 0.0000 0.0000 0.0000
Mg1 0.5000 0.5000 0.5000
Cl1 0.0000 0.0000 0.5000

---

17.
A plane-wave DFT calculation with GGA-PBEsol was carried out for MgPRhCl2 after structural relaxation.

N(E_F) (states/eV per atom): 0.468
Raw formation energy (eV/atom): -0.1571

Unit cell a=4.4974 b=4.8170 c=4.8170 alpha=90.00 beta=90.00 gamma=90.00
Element x y z (fractional)
Cl1 0.0000 0.0000 0.5000
Cl2 0.0000 0.5000 0.0000
P1 0.5000 0.0000 0.0000
Rh1 0.0000 0.0000 0.0000
Mg1 0.5000 0.5000 0.5000

---

18.
A plane-wave DFT calculation with GGA-PBEsol was carried out for MgP2SeCl after structural relaxation.

N(E_F) (states/eV per atom): 0.825
Raw formation energy (eV/atom): 0.5076

Unit cell a=4.7617 b=4.7617 c=4.9014 alpha=90.00 beta=90.00 gamma=90.00
Element x y z (fractional)
P1 0.5000 0.0000 0.0000
P2 0.0000 0.5000 0.0000
Cl1 0.0000 0.0000 0.5000
Se1 0.0000 0.0000 0.0000
Mg1 0.5000 0.5000 0.5000

---

19.
A plane-wave DFT calculation with GGA-PBEsol was carried out for MgTaP2Cl after structural relaxation.

N(E_F) (states/eV per atom): 1.002
Raw formation energy (eV/atom): 0.9165

Unit cell a=4.4170 b=4.7110 c=4.7110 alpha=90.00 beta=90.00 gamma=90.00
Site moments in Bohr magnetons follow the coordinates.
Element x y z (fractional)
Ta1 0.5000 0.5000 0.5000  1.17
P1 0.0000 0.0000 0.5000  -0.06
P2 0.0000 0.5000 0.0000  -0.06
Mg1 0.0000 0.0000 0.0000  0.01
Cl1 0.5000 0.0000 0.0000  -0.04

---

20.
A plane-wave DFT calculation with GGA-PBEsol was carried out for MgTeP2Cl after structural relaxation.

N(E_F) (states/eV per atom): 0.776
Raw formation energy (eV/atom): 0.3406

Unit cell a=4.4861 b=4.9486 c=4.9486 alpha=90.00 beta=90.00 gamma=90.00
Element x y z (fractional)
Mg1 0.0000 0.0000 0.0000
P1 0.0000 0.0000 0.5000
P2 0.0000 0.5000 0.0000
Te1 0.5000 0.5000 0.5000
Cl1 0.5000 0.0000 0.0000

---

21.
A plane-wave DFT calculation with GGA-PBEsol was carried out for MgZrP2Cl after structural relaxation.

N(E_F) (states/eV per atom): 0.566
Raw formation energy (eV/atom): 0.1676

Unit cell a=4.4502 b=4.7568 c=4.7568 alpha=90.00 beta=90.00 gamma=90.00
Element x y z (fractional)
Mg1 0.0000 0.0000 0.0000
Cl1 0.5000 0.0000 0.0000
P1 0.0000 0.5000 0.0000
P2 0.0000 0.0000 0.5000
Zr1 0.5000 0.5000 0.5000

---

22.
A plane-wave DFT calculation with GGA-PBEsol was carried out for MgPbCl2 after structural relaxation.

ΔE to the lowest computed polymorph (meV per atom): 231.7
N(E_F) (states/eV per atom): 0.132
Raw formation energy (eV/atom): -0.9739

Unit cell a=3.3100 b=5.7293 c=5.9565 alpha=103.08 beta=106.13 gamma=90.00
Element x y z (fractional)
Pb1 0.8207 0.2675 0.6415
Cl1 0.9805 0.9578 0.9611
Cl2 0.1741 0.6077 0.3482
Mg1 0.5246 0.6670 0.0492

---

23.
A plane-wave DFT calculation with GGA-PBEsol was carried out for MgPbCl2 after structural relaxation.

ΔE to the lowest computed polymorph (meV per atom): 626.4
N(E_F) (states/eV per atom): 0.641
Raw formation energy (eV/atom): -0.5793

Unit cell a=4.0861 b=4.0861 c=6.6951 alpha=107.77 beta=107.77 gamma=90.00
Element x y z (fractional)
Pb1 0.2500 0.7500 0.5000
Cl1 0.0000 0.0000 0.0000
Cl2 0.7500 0.2500 0.5000
Mg1 0.5000 0.5000 0.0000

---

24.
A plane-wave DFT calculation with GGA-PBEsol was carried out for MgPbCl2 after structural relaxation.

ΔE to the lowest computed polymorph (meV per atom): 485.2
N(E_F) (states/eV per atom): 0.582
Raw formation energy (eV/atom): -0.7204

Unit cell a=6.9723 b=7.0520 c=6.9723 alpha=60.37 beta=90.00 gamma=119.63
Element x y z (fractional)
Pb1 0.0000 0.0000 0.0000
Pb2 0.7500 0.5000 0.7500
Cl1 0.8750 0.2500 0.5045
Cl2 0.5045 0.7500 0.3750
Cl3 0.3750 0.2500 0.2455
Cl4 0.2455 0.7500 0.8750
Mg1 0.5000 0.0000 0.5000
Mg2 0.2500 0.5000 0.2500

---

25.
A plane-wave DFT calculation with GGA-PBEsol was carried out for MgPbCl2 after structural relaxation.

ΔE to the lowest computed polymorph (meV per atom): 623.9
N(E_F) (states/eV per atom): 0.260
Raw formation energy (eV/atom): -0.5817

Unit cell a=4.6951 b=5.4080 c=4.6951 alpha=115.73 beta=90.00 gamma=115.73
Element x y z (fractional)
Pb1 0.0000 0.0000 0.0000
Cl1 0.2500 0.5000 0.7500
Cl2 0.7500 0.5000 0.2500
Mg1 0.5000 0.0000 0.5000

---

26.
A plane-wave DFT calculation with GGA-PBEsol was carried out for MgPbCl2 after structural relaxation.

ΔE to the lowest computed polymorph (meV per atom): 211.1
N(E_F) (states/eV per atom): 0.203
Raw formation energy (eV/atom): -0.9945

Unit cell a=3.5135 b=3.4079 c=11.5098 alpha=90.00 beta=90.00 gamma=121.03
Element x y z (fractional)
Mg1 0.5000 0.0000 0.5000
Pb1 0.5000 0.0000 0.0000
Cl1 0.0000 0.0000 0.6399
Cl2 0.0000 0.0000 0.3601

---

27.
A plane-wave DFT calculation with GGA-PBEsol was carried out for MgPb2Cl after structural relaxation.

N(E_F) (states/eV per atom): 0.496
Raw formation energy (eV/atom): -0.2490

Unit cell a=5.2418 b=5.2418 c=5.2418 alpha=60.00 beta=60.00 gamma=60.00
Element x y z (fractional)
Pb1 0.0000 0.0000 0.0000
Pb2 0.7500 0.7500 0.7500
Mg1 0.2500 0.2500 0.2500
Cl1 0.5000 0.5000 0.5000

---

28.
A plane-wave DFT calculation with GGA-PBEsol was carried out for MgPbCl2 after structural relaxation.

ΔE to the lowest computed polymorph (meV per atom): 352.8
Raw formation energy (eV/atom): -0.8529

Unit cell a=3.7785 b=3.7785 c=9.0826 alpha=77.99 beta=77.99 gamma=60.00
Element x y z (fractional)
Pb1 0.2519 0.2519 0.2442
Cl1 0.7722 0.7722 0.6835
Cl2 0.9888 0.9888 0.0335
Mg1 0.4871 0.4871 0.5388